# DyY2In3CuGe2

Crystalline DyY2In3CuGe2 at its relaxed geometry (PBE, OQMD).

The structure in CIF format:
```
data_DyY2In3CuGe2
_chemical_formula_sum 'Dy2 Y4 In6 Cu2 Ge4'
_symmetry_space_group_name_H-M 'A m m 2'
_symmetry_Int_Tables_number 38
_symmetry_space_group_name_Hall 'A 2 -2'
_cell_length_a 4.2249
_cell_length_b 12.8248
_cell_length_c 7.4073
_cell_angle_alpha 90.00
_cell_angle_beta 90.00
_cell_angle_gamma 90.00
loop_
_atom_site_label
_atom_site_fract_x
_atom_site_fract_y
_atom_site_fract_z
Dy1 0.0000 0.0000 0.0000
Y1 0.0000 0.2007 0.3977
In1 0.5000 0.0000 0.3556
In2 0.5000 0.1216 0.7200
Cu1 0.0000 0.0000 0.5999
Ge1 0.5000 0.1662 0.0982
```

Properties
Size of the total moment ... 0.0 μB/cell
E ... -4.86 eV per atom